# 1
Density functional theory data (GGA-PBE) for a relaxed TbTaTc4 crystal.

Raw total energy (eV/cell): -58.18
Symmetry: F-43m
Crystal system: cubic
N(E_F) (states/eV per cell): 9.4

Lattice parameters (Å, degrees): 5.282 5.282 5.282 60.00 60.00 60.00
Fractional coordinates of all 6 atoms:
Tb 0.250 0.250 0.250
Tc 0.626 0.626 0.123
Tc 0.626 0.123 0.626
Tc 0.626 0.626 0.626
Tc 0.123 0.626 0.626
Ta 0.000 0.000 0.000



# 2
Density functional theory data (GGA-PBE) for a relaxed TbTaTe crystal.

Symmetry: Amm2
Crystal system: orthorhombic
ΔE_f (raw) (eV per atom): -0.123
N(E_F) (states/eV per cell): 3.8

Lattice parameters (Å, degrees): 3.544 3.542 13.633 90.00 90.00 120.01
Fractional coordinates of all 6 atoms:
Ta 0.612 0.224 0.000
Ta 0.277 0.555 0.500
Te 0.611 0.221 0.360
Te 0.611 0.221 0.640
Tb 0.278 0.556 0.822
Tb 0.278 0.556 0.178



# 3
Density functional theory data (GGA-PBE) for a relaxed TbThTa crystal.

Raw total energy (eV/cell): -45.92
Symmetry: C2/m
Crystal system: monoclinic
N(E_F) (states/eV per cell): 7.6

Lattice parameters (Å, degrees): 4.816 6.041 6.324 90.74 112.38 90.00
Fractional coordinates of all 6 atoms:
Ta 0.760 0.127 0.520
Ta 0.240 0.873 0.480
Tb 0.574 0.759 0.148
Tb 0.426 0.241 0.852
Th 0.863 0.648 0.726
Th 0.137 0.352 0.274



# 4
Density functional theory data (GGA-PBE) for a relaxed TbTh2Ta crystal.

Raw total energy (eV/cell): -28.86
Symmetry: R-3m
Crystal system: trigonal
N(E_F) (states/eV per cell): 4.9

Lattice parameters (Å, degrees): 3.307 3.307 12.239 82.23 82.23 60.00
Fractional coordinates of all 4 atoms:
Tb 0.500 0.500 0.500
Th 0.081 0.081 0.757
Th 0.919 0.919 0.243
Ta 0.000 0.000 0.000



# 5
Density functional theory data (GGA-PBE) for a relaxed Tb2ThTa crystal.

Raw total energy (eV/cell): -26.04
Symmetry: R-3m
Crystal system: trigonal
N(E_F) (states/eV per cell): 5.6

Lattice parameters (Å, degrees): 3.306 3.306 11.896 82.01 82.01 60.00
Site moments in Bohr magnetons follow the coordinates.
Fractional coordinates of all 4 atoms:
Tb 0.083 0.083 0.750  0.06
Tb 0.917 0.917 0.250  0.06
Th 0.500 0.500 0.500  0.01
Ta 0.000 0.000 0.000  0.24



# 6
Density functional theory data (GGA-PBE) for a relaxed TbThTa4 crystal.

Raw total energy (eV/cell): -58.61
Symmetry: F-43m
Crystal system: cubic
N(E_F) (states/eV per cell): 3.4

Lattice parameters (Å, degrees): 5.745 5.745 5.745 60.00 60.00 60.00
Fractional coordinates of all 6 atoms:
Tb 0.000 0.000 0.000
Th 0.250 0.250 0.250
Ta 0.625 0.625 0.124
Ta 0.625 0.124 0.625
Ta 0.625 0.625 0.625
Ta 0.124 0.625 0.625



# 7
Density functional theory data (GGA-PBE) for a relaxed TbTaTi2 crystal.

Raw total energy (eV/cell): -31.74
Symmetry: P4/mmm
Crystal system: tetragonal
N(E_F) (states/eV per cell): 6.4

Lattice parameters (Å, degrees): 3.479 3.479 6.862 90.00 90.00 90.00
Fractional coordinates of all 4 atoms:
Ti 0.000 0.000 0.802
Ti 0.000 0.000 0.198
Tb 0.500 0.500 0.500
Ta 0.500 0.500 0.000



# 8
Density functional theory data (GGA-PBE) for a relaxed Tb2TaTl crystal.

Raw total energy (eV/cell): -21.36
Symmetry: R-3m
Crystal system: trigonal
N(E_F) (states/eV per cell): 5.6

Lattice parameters (Å, degrees): 3.233 3.233 11.721 82.07 82.07 60.00
Fractional coordinates of all 4 atoms:
Tl 0.500 0.500 0.500
Tb 0.086 0.086 0.743
Tb 0.914 0.914 0.257
Ta 0.000 0.000 0.000



# 9
Density functional theory data (GGA-PBE) for a relaxed TbTmTa crystal.

Raw total energy (eV/cell): -41.21
Symmetry: P4/nmm
Crystal system: tetragonal
N(E_F) (states/eV per cell): 5.8

Lattice parameters (Å, degrees): 3.521 3.521 12.953 90.00 90.00 90.00
Fractional coordinates of all 6 atoms:
Tb 0.000 0.500 0.594
Tb 0.500 0.000 0.406
Tm 0.500 0.000 0.800
Tm 0.000 0.500 0.200
Ta 0.000 0.500 0.953
Ta 0.500 0.000 0.047



# 10
Density functional theory data (GGA-PBE) for a relaxed TbTaV4 crystal.

Raw total energy (eV/cell): -51.57
Symmetry: F-43m
Crystal system: cubic
N(E_F) (states/eV per cell): 7.4

Lattice parameters (Å, degrees): 5.192 5.192 5.192 60.00 60.00 60.00
Fractional coordinates of all 6 atoms:
V 0.625 0.625 0.125
V 0.625 0.125 0.625
V 0.625 0.625 0.625
V 0.125 0.625 0.625
Tb 0.000 0.000 0.000
Ta 0.250 0.250 0.250



# 11
Density functional theory data (GGA-PBE) for a relaxed TbTaV crystal.

Raw total energy (eV/cell): -24.26
Symmetry: P1
Crystal system: triclinic
N(E_F) (states/eV per cell): 5.3

Lattice parameters (Å, degrees): 3.007 3.007 8.844 124.40 109.93 69.26
Site moments in Bohr magnetons follow the coordinates.
Fractional coordinates of all 3 atoms:
V 0.020 0.717 0.696  0.48
Ta 0.645 0.605 0.959  0.02
Tb 0.335 0.679 0.345  0.07



# 12
Density functional theory data (GGA-PBE) for a relaxed TbTaW4 crystal.

Raw total energy (eV/cell): -67.64
Symmetry: F-43m
Crystal system: cubic
N(E_F) (states/eV per cell): 3.5

Lattice parameters (Å, degrees): 5.422 5.422 5.422 60.00 60.00 60.00
Fractional coordinates of all 6 atoms:
Tb 0.250 0.250 0.250
W 0.625 0.625 0.125
W 0.625 0.125 0.625
W 0.625 0.625 0.625
W 0.125 0.625 0.625
Ta 0.000 0.000 0.000



Look up the N(E_F) of the fifth one.
5.6 states/eV per cell



Among the records above, which one has the highest N(E_F)?
TbTaTc4



Copy entry 11 word for word.
Density functional theory data (GGA-PBE) for a relaxed TbTaV crystal.

Raw total energy (eV/cell): -24.26
Symmetry: P1
Crystal system: triclinic
N(E_F) (states/eV per cell): 5.3

Lattice parameters (Å, degrees): 3.007 3.007 8.844 124.40 109.93 69.26
Site moments in Bohr magnetons follow the coordinates.
Fractional coordinates of all 3 atoms:
V 0.020 0.717 0.696  0.48
Ta 0.645 0.605 0.959  0.02
Tb 0.335 0.679 0.345  0.07